No. 1
A relaxed Zn2InAg2 crystal. Source: the Alexandria database, functional GGA-PBEsol.

```
Zn2InAg2
1.0
-2.439 1.358 -0.767
-2.638 -6.528 -3.164
-3.214 -1.966 6.737
Zn Ag In
4 4 2
Cartesian
-3.814 -1.737 3.588
-5.655 -5.321 3.102
-4.478 -5.400 -0.781
-2.636 -1.816 -0.296
-3.778 -4.135 4.695
-4.319 -6.923 1.482
-2.074 -4.360 -1.121
-1.533 -1.571 2.092
0.000 0.000 0.000
-2.926 -4.247 1.787
```

Results
Crystal system: tetragonal
ΔH_f (0 K) (eV/atom): 0.01

=====

No. 2
A relaxed Zr2InAg crystal. Source: the Alexandria database, functional GGA-PBEsol.

```
Zr2InAg
1.0
3.088 0.000 0.000
0.000 3.088 0.000
0.000 0.000 8.388
Zr Ag In
2 1 1
Cartesian
0.000 0.000 6.374
0.000 0.000 2.014
1.544 1.544 0.000
1.544 1.544 4.194
```

Results
Crystal system: tetragonal
ΔH_f (0 K) (eV/atom): -0.24

=====

No. 3
A relaxed Zr2InAg crystal. Source: the Alexandria database, functional GGA-PBEsol.

```
Zr2InAg
1.0
-1.532 2.782 -0.300
-2.961 -1.331 2.788
3.165 2.219 4.421
Zr Ag In
2 1 1
Cartesian
2.389 1.675 3.337
0.776 0.544 1.084
-2.247 0.726 1.244
-0.664 1.835 3.455
```

Results
Crystal system: orthorhombic
ΔH_f (0 K) (eV/atom): -0.22

=====

No. 4
A relaxed ZrIn2Ag crystal. Source: the Alexandria database, functional GGA-PBEsol.

```
ZrIn2Ag
1.0
-3.663 -2.542 -1.993
-1.644 -4.042 2.193
-4.400 -0.011 2.118
Ag In Zr
1 2 1
Cartesian
-4.854 -3.297 1.159
0.000 0.000 0.000
-7.281 -4.946 1.739
-2.427 -1.649 0.580
```

Results
Crystal system: cubic
ΔH_f (0 K) (eV/atom): 0.04

=====

No. 5
A relaxed Zr2InAg crystal. Source: the Alexandria database, functional GGA-PBEsol.

```
Zr2InAg
1.0
-3.065 0.786 0.231
-0.908 -2.181 -4.628
-0.612 -3.502 3.790
Zr Ag In
2 1 1
Cartesian
-0.454 -1.091 -2.314
-0.306 -1.751 1.895
-1.532 0.393 0.116
-2.293 -2.449 -0.304
```

Results
Crystal system: orthorhombic
ΔH_f (0 K) (eV/atom): -0.22

=====

No. 6
A relaxed ZrIn2Ag crystal. Source: the Alexandria database, functional GGA-PBEsol.

```
ZrIn2Ag
1.0
3.138 0.000 0.000
1.569 2.718 0.000
1.569 0.906 9.989
Ag In Zr
1 2 1
Cartesian
1.569 0.906 2.507
4.707 2.718 0.148
4.707 2.718 7.435
3.138 1.812 4.893
```

Results
Crystal system: trigonal
ΔH_f (0 K) (eV/atom): -0.02